Entry 1:
## TaMnPCl2 (PBE)

Data for a geometry-optimized TaMnPCl2 structure.

Results
M_tot = 1.070 μB per atom
ΔE_f (raw) = 0.128 eV/atom
Energy relative to the lowest polymorph listed for this composition = 0.000 eV/atom
D(E_F) = 3.137 states/eV/cell
Density = 4.9 g/cm3

Cell lengths 4.7962, 4.7962, 4.9920 Å; angles 90.00, 90.00, 90.00 degrees
Space group P4/mmm (No. 123)
One atom of each set of equivalent atoms:
Ta  0.0000  0.0000  0.0000 (multiplicity 1)
Mn  0.5000  0.5000  0.5000 (multiplicity 1)
P  0.0000  0.0000  0.5000 (multiplicity 1)
Cl  0.0000  0.5000  0.0000 (multiplicity 2)

***

Entry 2:
## TaMnPCl2 (PBE)

Data for a geometry-optimized TaMnPCl2 structure.

Results
M_tot = 0.758 μB per atom
ΔE_f (raw) = 0.696 eV/atom
Energy relative to the lowest polymorph listed for this composition = 0.568 eV/atom
D(E_F) = 6.330 states/eV/cell
Density = 5.7 g/cm3

Cell lengths 4.4017, 4.4017, 5.1003 Å; angles 90.00, 90.00, 90.00 degrees
Space group P4/mmm (No. 123)
One atom of each set of equivalent atoms:
Ta  0.0000  0.0000  0.0000 (multiplicity 1)
Mn  0.5000  0.5000  0.5000 (multiplicity 1)
P  0.5000  0.5000  0.0000 (multiplicity 1)
Cl  0.0000  0.5000  0.5000 (multiplicity 2)

***

Entry 3:
## MnTcPCl2 (PBE)

Data for a geometry-optimized MnTcPCl2 structure.

Results
M_tot = 1.685 μB per atom
ΔE_f (raw) = 0.562 eV/atom
Energy relative to the lowest polymorph listed for this composition = 0.162 eV/atom
D(E_F) = 3.146 states/eV/cell
Density = 4.0 g/cm3

Cell lengths 4.5283, 4.5283, 5.1829 Å; angles 90.00, 90.00, 90.00 degrees
Space group P4/mmm (No. 123)
One atom of each set of equivalent atoms:
Mn  0.0000  0.0000  0.0000 (multiplicity 1)
Tc  0.5000  0.5000  0.5000 (multiplicity 1)
P  0.0000  0.0000  0.5000 (multiplicity 1)
Cl  0.0000  0.5000  0.0000 (multiplicity 2)

***

Entry 4:
## MnTcPCl2 (PBE)

Data for a geometry-optimized MnTcPCl2 structure.

Results
M_tot = 0.901 μB per atom
ΔE_f (raw) = 0.399 eV/atom
Energy relative to the lowest polymorph listed for this composition = 0.000 eV/atom
D(E_F) = 4.059 states/eV/cell
Density = 3.8 g/cm3

Cell lengths 4.9097, 4.9097, 4.5883 Å; angles 90.00, 90.00, 90.00 degrees
Space group P4/mmm (No. 123)
One atom of each set of equivalent atoms:
Mn  0.0000  0.0000  0.0000 (multiplicity 1)
Tc  0.5000  0.5000  0.5000 (multiplicity 1)
P  0.5000  0.5000  0.0000 (multiplicity 1)
Cl  0.0000  0.5000  0.5000 (multiplicity 2)

***

Entry 5:
## MnTePCl2 (PBE)

Data for a geometry-optimized MnTePCl2 structure.

Results
M_tot = 0.000 μB per atom
ΔE_f (raw) = 0.238 eV/atom
Energy relative to the lowest polymorph listed for this composition = 0.000 eV/atom
D(E_F) = 6.568 states/eV/cell
Density = 4.8 g/cm3

Cell lengths 4.4468, 4.4468, 4.9418 Å; angles 90.00, 90.00, 90.00 degrees
Space group P4/mmm (No. 123)
One atom of each set of equivalent atoms:
Mn  0.0000  0.0000  0.0000 (multiplicity 1)
Te  0.5000  0.5000  0.5000 (multiplicity 1)
P  0.0000  0.0000  0.5000 (multiplicity 1)
Cl  0.0000  0.5000  0.0000 (multiplicity 2)

***

Entry 6:
## MnTePCl2 (PBE)

Data for a geometry-optimized MnTePCl2 structure.

Results
M_tot = 1.047 μB per atom
ΔE_f (raw) = 0.607 eV/atom
Energy relative to the lowest polymorph listed for this composition = 0.369 eV/atom
D(E_F) = 2.654 states/eV/cell
Density = 3.3 g/cm3

Cell lengths 5.1970, 5.1970, 5.3724 Å; angles 90.00, 90.00, 90.00 degrees
Space group P4/mmm (No. 123)
One atom of each set of equivalent atoms:
Mn  0.0000  0.0000  0.0000 (multiplicity 1)
Te  0.5000  0.5000  0.5000 (multiplicity 1)
P  0.5000  0.5000  0.0000 (multiplicity 1)
Cl  0.0000  0.5000  0.5000 (multiplicity 2)

***

Entry 7:
## TiMnPCl2 (PBE)

Data for a geometry-optimized TiMnPCl2 structure.

Results
M_tot = 1.083 μB per atom
ΔE_f (raw) = -0.257 eV/atom
Energy relative to the lowest polymorph listed for this composition = 0.000 eV/atom
D(E_F) = 2.253 states/eV/cell
Density = 3.1 g/cm3

Cell lengths 4.6350, 4.6350, 5.0968 Å; angles 90.00, 90.00, 90.00 degrees
Space group P4/mmm (No. 123)
One atom of each set of equivalent atoms:
Ti  0.0000  0.0000  0.0000 (multiplicity 1)
Mn  0.5000  0.5000  0.5000 (multiplicity 1)
P  0.0000  0.0000  0.5000 (multiplicity 1)
Cl  0.0000  0.5000  0.0000 (multiplicity 2)

***

Entry 8:
## Ti2MnPCl (PBE)

Data for a geometry-optimized Ti2MnPCl structure.

Results
M_tot = 0.000 μB per atom
ΔE_f (raw) = 0.311 eV/atom
D(E_F) = 4.578 states/eV/cell
Density = 4.2 g/cm3

Cell lengths 4.6588, 4.6588, 3.9773 Å; angles 90.00, 90.00, 90.00 degrees
Space group P4/mmm (No. 123)
One atom of each set of equivalent atoms:
Ti  0.0000  0.5000  0.0000 (multiplicity 2)
Mn  0.0000  0.0000  0.0000 (multiplicity 1)
P  0.5000  0.5000  0.5000 (multiplicity 1)
Cl  0.0000  0.0000  0.5000 (multiplicity 1)